No. 1
Here is a geometry-optimized TiNbGe2 structure from the Alexandria database. Energies are from PBE.

Values from the calculation:
D(E_F) = 1.061 states/eV per atom
ΔE_f = -75 kJ/mol of formula units
Raw total energy = -6.995 eV per atom
Excess energy over the best structure of this formula in the dataset = 101 meV/atom

a b c (Å): 4.541 4.541 4.541
angles (deg): 60.00 60.00 60.00
Fractional coordinates of all 4 atoms:
1 Nb 0.500 0.500 0.500
2 Ge 0.250 0.250 0.250
3 Ge 0.750 0.750 0.750
4 Ti 0.000 0.000 0.000

=====

No. 2
Here is a geometry-optimized TiNbGe structure from the Alexandria database. Energies are from PBE.

Values from the calculation:
D(E_F) = 0.858 states/eV per atom
ΔE_f = -116 kJ/mol of formula units
Raw total energy = -7.929 eV per atom

a b c (Å): 3.407 3.407 8.615
angles (deg): 90.00 90.00 90.00
Fractional coordinates of all 6 atoms:
1 Nb 0.000 0.000 0.392
2 Nb 0.500 0.500 0.892
3 Ge 0.000 0.000 0.728
4 Ge 0.500 0.500 0.228
5 Ti 0.000 0.000 0.066
6 Ti 0.500 0.500 0.566

=====

No. 3
Here is a geometry-optimized TiNb2Ge structure from the Alexandria database. Energies are from PBE.

Values from the calculation:
D(E_F) = 0.877 states/eV per atom
ΔE_f = -121 kJ/mol of formula units
Raw total energy = -8.477 eV per atom

a b c (Å): 4.422 3.914 3.914
angles (deg): 90.00 90.00 90.00
Fractional coordinates of all 4 atoms:
1 Nb 0.000 0.000 0.500
2 Nb 0.000 0.500 0.000
3 Ge 0.500 0.500 0.500
4 Ti 0.500 0.000 0.000

=====

No. 4
Here is a geometry-optimized TiNbGe4 structure from the Alexandria database. Energies are from PBE.

Values from the calculation:
D(E_F) = 0.638 states/eV per atom
ΔE_f = -156 kJ/mol of formula units
Raw total energy = -6.341 eV per atom

a b c (Å): 3.388 4.926 6.788
angles (deg): 110.06 90.00 110.11
Fractional coordinates of all 6 atoms:
1 Ti 0.500 0.500 0.500
2 Nb 0.500 0.500 0.000
3 Ge 0.160 0.821 0.331
4 Ge 0.840 0.179 0.669
5 Ge 0.835 0.170 0.169
6 Ge 0.165 0.830 0.831

=====

No. 5
Here is a geometry-optimized TiNb3Ge structure from the Alexandria database. Energies are from PBE.

Values from the calculation:
D(E_F) = 1.311 states/eV per atom
ΔE_f = 402 kJ/mol of formula units
Raw total energy = -7.711 eV per atom
Excess energy over the best structure of this formula in the dataset = 0 meV/atom

a b c (Å): 4.759 4.759 4.759
angles (deg): 90.00 90.00 90.00
Fractional coordinates of all 5 atoms:
1 Nb 0.000 0.500 0.000
2 Nb 0.000 0.000 0.500
3 Nb 0.500 0.000 0.000
4 Ge 0.000 0.000 0.000
5 Ti 0.500 0.500 0.500

=====

No. 6
Here is a geometry-optimized TiNbGe structure from the Alexandria database. Energies are from PBE.

Values from the calculation:
D(E_F) = 0.767 states/eV per atom
ΔE_f = -126 kJ/mol of formula units
Raw total energy = -7.964 eV per atom

a b c (Å): 4.584 4.584 5.436
angles (deg): 90.00 90.00 120.00
Fractional coordinates of all 6 atoms:
1 Nb 0.000 0.000 0.371
2 Nb 0.333 0.667 0.149
3 Ge 0.333 0.667 0.641
4 Ge 0.667 0.333 0.099
5 Ti 0.667 0.333 0.589
6 Ti 0.000 0.000 0.868

=====

No. 7
Here is a geometry-optimized Ti2NbGe2 structure from the Alexandria database. Energies are from PBE.

Values from the calculation:
D(E_F) = 0.524 states/eV per atom
ΔE_f = -303 kJ/mol of formula units
Raw total energy = -7.647 eV per atom
Excess energy over the best structure of this formula in the dataset = 0 meV/atom

a b c (Å): 6.873 6.873 3.461
angles (deg): 90.00 90.00 90.00
Fractional coordinates of all 10 atoms:
1 Nb 0.000 0.000 0.000
2 Nb 0.500 0.500 0.000
3 Ge 0.369 0.869 0.000
4 Ge 0.869 0.631 0.000
5 Ge 0.631 0.131 0.000
6 Ge 0.131 0.369 0.000
7 Ti 0.170 0.670 0.500
8 Ti 0.670 0.830 0.500
9 Ti 0.830 0.330 0.500
10 Ti 0.330 0.170 0.500

=====

No. 8
Here is a geometry-optimized Ti3NbGe structure from the Alexandria database. Energies are from PBE.

Values from the calculation:
D(E_F) = 1.395 states/eV per atom
ΔE_f = 472 kJ/mol of formula units
Raw total energy = -6.696 eV per atom
Excess energy over the best structure of this formula in the dataset = 389 meV/atom

a b c (Å): 4.769 4.769 4.769
angles (deg): 90.00 90.00 90.00
Site moments in Bohr magnetons follow the coordinates.
Fractional coordinates of all 5 atoms:
1 Nb 0.000 0.000 0.000  -0.06
2 Ge 0.500 0.500 0.500  -0.03
3 Ti 0.000 0.500 0.000  0.31
4 Ti 0.000 0.000 0.500  0.20
5 Ti 0.500 0.000 0.000  0.46

=====

No. 9
Here is a geometry-optimized TiNb2Ge structure from the Alexandria database. Energies are from PBE.

Values from the calculation:
D(E_F) = 0.940 states/eV per atom
ΔE_f = 96 kJ/mol of formula units
Raw total energy = -7.915 eV per atom

a b c (Å): 7.387 7.387 5.882
angles (deg): 51.11 51.11 90.00
Fractional coordinates of all 8 atoms:
1 Nb 0.648 0.125 0.250
2 Nb 0.102 0.625 0.250
3 Nb 0.375 0.352 0.750
4 Nb 0.875 0.898 0.750
5 Ge 0.000 0.000 0.000
6 Ge 0.750 0.250 0.500
7 Ti 0.500 0.500 0.000
8 Ti 0.250 0.750 0.500

=====

No. 10
Here is a geometry-optimized TiNbGe2 structure from the Alexandria database. Energies are from PBE.

Values from the calculation:
D(E_F) = 0.761 states/eV per atom
ΔE_f = -105 kJ/mol of formula units
Raw total energy = -7.072 eV per atom
Excess energy over the best structure of this formula in the dataset = 25 meV/atom

a b c (Å): 3.619 3.619 6.726
angles (deg): 74.39 74.39 60.00
Fractional coordinates of all 4 atoms:
1 Ti 0.495 0.495 0.515
2 Nb 0.671 0.671 0.986
3 Ge 0.084 0.084 0.748
4 Ge 0.250 0.250 0.250

=====

No. 11
Here is a geometry-optimized NbTlGe3 structure from the Alexandria database. Energies are from PBE.

Values from the calculation:
D(E_F) = 0.851 states/eV per atom
ΔE_f = 117 kJ/mol of formula units
Raw total energy = -5.014 eV per atom
Excess energy over the best structure of this formula in the dataset = 0 meV/atom

a b c (Å): 5.086 5.086 5.086
angles (deg): 90.00 90.00 90.00
Fractional coordinates of all 5 atoms:
1 Tl 0.500 0.500 0.500
2 Ge 0.000 0.500 0.000
3 Ge 0.000 0.000 0.500
4 Ge 0.500 0.000 0.000
5 Nb 0.000 0.000 0.000

=====

No. 12
Here is a geometry-optimized Nb2TlGe structure from the Alexandria database. Energies are from PBE.

Values from the calculation:
D(E_F) = 0.953 states/eV per atom
ΔE_f = 191 kJ/mol of formula units
Raw total energy = -6.285 eV per atom

a b c (Å): 4.036 4.036 10.516
angles (deg): 78.94 78.94 90.00
Fractional coordinates of all 8 atoms:
1 Tl 0.000 0.000 0.000
2 Tl 0.750 0.250 0.500
3 Ge 0.500 0.500 0.000
4 Ge 0.250 0.750 0.500
5 Nb 0.614 0.125 0.250
6 Nb 0.136 0.625 0.250
7 Nb 0.375 0.386 0.750
8 Nb 0.875 0.864 0.750

=====

No. 13
Here is a geometry-optimized Zr2NbTlGe structure from the Alexandria database. Energies are from PBE.

Values from the calculation:
D(E_F) = 1.092 states/eV per atom
ΔE_f = 684 kJ/mol of formula units
Raw total energy = -5.413 eV per atom

a b c (Å): 5.302 5.164 5.302
angles (deg): 90.00 90.00 90.00
Site moments in Bohr magnetons follow the coordinates.
Fractional coordinates of all 5 atoms:
1 Tl 0.000 0.000 0.000  -0.01
2 Ge 0.500 0.500 0.500  -0.03
3 Nb 0.000 0.500 0.000  1.37
4 Zr 0.000 0.000 0.500  0.12
5 Zr 0.500 0.000 0.000  0.11

=====

No. 14
Here is a geometry-optimized TmNbGe structure from the Alexandria database. Energies are from PBE.

Values from the calculation:
D(E_F) = 0.854 states/eV per atom
ΔE_f = -58 kJ/mol of formula units
Raw total energy = -6.585 eV per atom

a b c (Å): 4.077 4.077 10.395
angles (deg): 78.69 78.69 60.00
Fractional coordinates of all 6 atoms:
1 Ge 0.102 0.102 0.693
2 Ge 0.898 0.898 0.307
3 Tm 0.617 0.617 0.148
4 Tm 0.383 0.383 0.852
5 Nb 0.195 0.195 0.416
6 Nb 0.805 0.805 0.584

=====

No. 15
Here is a geometry-optimized Tm2Nb3Ge4 structure from the Alexandria database. Energies are from PBE.

Values from the calculation:
D(E_F) = 0.493 states/eV per atom
ΔE_f = -644 kJ/mol of formula units
Raw total energy = -7.144 eV per atom

a b c (Å): 7.005 7.148 7.147
angles (deg): 90.00 90.00 109.51
Fractional coordinates of all 18 atoms:
1 Tm 0.558 0.187 0.328
2 Tm 0.942 0.813 0.828
3 Tm 0.442 0.813 0.672
4 Tm 0.058 0.187 0.172
5 Nb 0.000 0.500 0.500
6 Nb 0.500 0.500 0.000
7 Nb 0.746 0.254 0.824
8 Nb 0.754 0.746 0.324
9 Nb 0.254 0.746 0.176
10 Nb 0.246 0.254 0.676
11 Ge 0.855 0.083 0.535
12 Ge 0.645 0.917 0.035
13 Ge 0.145 0.917 0.465
14 Ge 0.355 0.083 0.965
15 Ge 0.865 0.489 0.131
16 Ge 0.635 0.511 0.631
17 Ge 0.135 0.511 0.869
18 Ge 0.365 0.489 0.369

=====

No. 16
Here is a geometry-optimized UNbGe structure from the Alexandria database. Energies are from PBE.

Values from the calculation:
D(E_F) = 1.642 states/eV per atom
ΔE_f = 10 kJ/mol of formula units
Raw total energy = -8.623 eV per atom

a b c (Å): 2.857 4.830 4.830
angles (deg): 120.00 90.00 90.00
Fractional coordinates of all 3 atoms:
1 Nb 0.167 0.333 0.667
2 U 0.667 0.667 0.333
3 Ge 0.166 0.000 0.000

=====

No. 17
Here is a geometry-optimized U2Nb3Ge4 structure from the Alexandria database. Energies are from PBE.

Values from the calculation:
D(E_F) = 1.454 states/eV per atom
ΔE_f = -385 kJ/mol of formula units
Raw total energy = -8.361 eV per atom

a b c (Å): 7.050 7.181 7.182
angles (deg): 90.00 90.00 110.01
Site moments in Bohr magnetons follow the coordinates.
Fractional coordinates of all 18 atoms:
1 U 0.557 0.182 0.335  2.12
2 U 0.943 0.818 0.835  2.12
3 U 0.443 0.818 0.665  2.12
4 U 0.057 0.182 0.165  2.12
5 Nb 0.000 0.500 0.500  -0.04
6 Nb 0.500 0.500 0.000  -0.04
7 Nb 0.748 0.250 0.829  -0.01
8 Nb 0.752 0.750 0.329  -0.01
9 Nb 0.252 0.750 0.171  -0.01
10 Nb 0.248 0.250 0.671  -0.01
11 Ge 0.859 0.086 0.541  -0.01
12 Ge 0.641 0.914 0.041  -0.01
13 Ge 0.141 0.914 0.459  -0.01
14 Ge 0.359 0.086 0.959  -0.01
15 Ge 0.864 0.493 0.133  0.00
16 Ge 0.636 0.507 0.633  0.00
17 Ge 0.136 0.507 0.867  0.00
18 Ge 0.364 0.493 0.367  0.00

=====

No. 18
Here is a geometry-optimized UNbGe structure from the Alexandria database. Energies are from PBE.

Values from the calculation:
D(E_F) = 1.516 states/eV per atom
ΔE_f = 21 kJ/mol of formula units
Raw total energy = -8.587 eV per atom

a b c (Å): 4.488 5.748 5.748
angles (deg): 63.73 67.02 67.02
Fractional coordinates of all 6 atoms:
1 Nb 0.500 0.735 0.265
2 Nb 0.500 0.265 0.735
3 Ge 0.150 0.350 0.350
4 Ge 0.850 0.650 0.650
5 U 0.856 0.144 0.144
6 U 0.144 0.856 0.856

=====

No. 19
Here is a geometry-optimized UNbGe2 structure from the Alexandria database. Energies are from PBE.

Values from the calculation:
D(E_F) = 1.471 states/eV per atom
ΔE_f = -19 kJ/mol of formula units
Raw total energy = -7.698 eV per atom

a b c (Å): 3.006 3.006 9.752
angles (deg): 81.13 81.13 60.00
Site moments in Bohr magnetons follow the coordinates.
Fractional coordinates of all 4 atoms:
1 Nb 0.000 0.000 0.000  0.13
2 U 0.500 0.500 0.500  1.84
3 Ge 0.744 0.744 0.769  -0.01
4 Ge 0.256 0.256 0.231  -0.01

=====

No. 20
Here is a geometry-optimized NbV5Ge2 structure from the Alexandria database. Energies are from PBE.

Values from the calculation:
D(E_F) = 0.678 states/eV per atom
ΔE_f = -122 kJ/mol of formula units
Raw total energy = -8.271 eV per atom

a b c (Å): 3.244 6.319 6.319
angles (deg): 75.93 75.13 75.13
Fractional coordinates of all 8 atoms:
1 Nb 0.000 0.000 0.000
2 V 0.000 0.500 0.500
3 V 0.647 0.544 0.162
4 V 0.353 0.456 0.838
5 V 0.353 0.838 0.456
6 V 0.647 0.162 0.544
7 Ge 0.725 0.775 0.775
8 Ge 0.275 0.225 0.225

=====

| no. | M_tot (Bohr magnetons per cell) |
| --- | --- |
| 1 | 0.0 |
| 2 | 0.0 |
| 3 | 0.0 |
| 4 | 0.0 |
| 5 | 0.0 |
| 6 | 0.0 |
| 7 | 0.0 |
| 8 | 1.2 |
| 9 | 0.0 |
| 10 | 0.0 |
| 11 | 0.0 |
| 12 | 0.0 |
| 13 | 2.1 |
| 14 | 0.0 |
| 15 | 0.0 |
| 16 | 0.0 |
| 17 | 9.4 |
| 18 | 0.0 |
| 19 | 2.2 |
| 20 | 0.0 |